Crystalline CeMg2Zn2Ge2 at its relaxed geometry. Source: the Alexandria database, functional PBE.

Properties
- Total energy: -22.71 eV per cell
- DOS(E_F): 7.98 states/eV/f.u.
- Energy of formation from the pure elements: -258 meV per atom
- Density: 5.57 g cm⁻³

a = 8.3294 Å, b = 8.3294 Å, c = 8.3294 Å
α = 31.31°, β = 31.31°, γ = 31.31°
Last column: nearest neighbours and their distance in Å.
Sites, in units of the cell vectors:
Ce (0.0000, 0.0000, 0.0000)  6 Ge 3.15, 2 Mg 3.30
Mg (0.1390, 0.1390, 0.1390)  3 Zn 2.72, 4 Ge 2.84-3.01, 3 Mg 2.91
Mg (0.8610, 0.8610, 0.8610)  3 Zn 2.72, 4 Ge 2.84-3.01, 3 Mg 2.91
Zn (0.4375, 0.4375, 0.4375)  3 Ge 2.69, 3 Mg 2.72, 1 Zn 2.97
Zn (0.5625, 0.5625, 0.5625)  3 Ge 2.69, 3 Mg 2.72, 1 Zn 2.97
Ge (0.2584, 0.2584, 0.2584)  3 Zn 2.69, 4 Mg 2.84-3.01
Ge (0.7416, 0.7416, 0.7416)  3 Zn 2.69, 4 Mg 2.84-3.01